Compound: SiIr2W
Source: the Alexandria database
Functional: meta-GGA SCAN
Structure: PBEsol geometry

Cell: 3.854 3.854 4.662 Å, 114.41 114.41 90.00°
Positions (direct):
Ir (0.750, 0.250, 0.500)
Ir (0.250, 0.750, 0.500)
Si (0.500, 0.500, 0.000)
W (0.000, 0.000, 0.000)

Computed properties:
- Energy relative to the elements, uncorrected: -0.18 eV/atom
- Crystal system: tetragonal
- N(E_F): 0.842 states/eV per atom

Compound: SiIrW
Source: the Alexandria database
Functional: meta-GGA SCAN
Structure: PBEsol geometry

Cell: 4.117 4.117 4.117 Å, 60.00 60.00 60.00°
Positions (direct):
Ir (0.250, 0.250, 0.250)
Si (0.000, 0.000, 0.000)
W (0.500, 0.500, 0.500)

Computed properties:
- Energy relative to the elements, uncorrected: -0.27 eV/atom
- Crystal system: cubic
- Offset from the most stable computed form: 31.4 meV/atom
- N(E_F): 0.730 states/eV per atom

Respective calculated volume values: 56.2; 49.3 Å³/f.u..